--- A ---
CaBeCo3: relaxed, PBE-GGA.

The total magnetic moment is 3.356 μB/cell. As for the mass density: 4.3 g cm⁻³. The density of states at the Fermi level is 9.557 states/eV per cell.

The structure belongs to space group Pm-3m (No. 221); the cell edges are 4.420, 4.420 and 4.420 Å and the angles 90.00°, 90.00° and 90.00°. Symmetry generates all atoms from Ca at (0.000, 0.000, 0.000), Be at (0.500, 0.500, 0.500) and Co at (0.000, 0.000, 0.500).

***

--- B ---
CaBeCo3: relaxed, PBE-GGA.

The total magnetic moment is 2.939 μB/cell. As for the mass density: 5.5 g cm⁻³. The density of states at the Fermi level is 9.385 states/eV per cell.

The structure belongs to space group Pm-3m (No. 221); the cell edges are 4.096, 4.096 and 4.096 Å and the angles 90.00°, 90.00° and 90.00°. Symmetry generates all atoms from Ca at (0.000, 0.000, 0.000), Be at (0.500, 0.500, 0.500) and Co at (0.000, 0.500, 0.500).

***

B takes first place; second place is 1784 meV/atom up.

***

--- A ---
CaBe2Cr: relaxed, PBE-GGA.

The total magnetic moment is 0.000 μB/cell. As for the mass density: 3.4 g cm⁻³. The density of states at the Fermi level is 2.264 states/eV per cell.

The structure belongs to space group Pmm2 (No. 25); the cell edges are 2.708, 2.731 and 7.304 Å and the angles 90.00°, 90.00° and 90.00°. Symmetry generates all atoms from Ca at (0.000, 0.000, 0.000), Be at (0.000, 0.000, 0.457), Be at (0.500, 0.500, 0.314) and Cr at (0.500, 0.500, 0.659).

***

--- B ---
CaBe2Cr: relaxed, PBE-GGA.

The total magnetic moment is 15.133 μB/cell. As for the mass density: 2.3 g cm⁻³. The density of states at the Fermi level is 6.562 states/eV per cell.

The structure belongs to space group I4_1/amd (No. 141, origin choice 2); the cell edges are 4.323, 4.323 and 16.711 Å and the angles 90.00°, 90.00° and 90.00°. Symmetry generates all atoms from Ca at (0.000, 0.250, 0.375), Be at (0.000, 0.000, 0.000) and Cr at (0.000, 0.250, 0.875).

***

A takes first place; second place is 75 meV/atom up.

***

--- A ---
CsCaBe3: relaxed, PBE-GGA.

The total magnetic moment is 0.000 μB/cell. As for the mass density: 2.1 g cm⁻³. The density of states at the Fermi level is 3.368 states/eV per cell.

The structure belongs to space group Pm-3m (No. 221); the cell edges are 5.439, 5.439 and 5.439 Å and the angles 90.00°, 90.00° and 90.00°. Symmetry generates all atoms from Cs at (0.000, 0.000, 0.000), Ca at (0.500, 0.500, 0.500) and Be at (0.000, 0.000, 0.500).

***

--- B ---
CsCaBe3: relaxed, PBE-GGA.

The total magnetic moment is 0.000 μB/cell. As for the mass density: 1.8 g cm⁻³. The density of states at the Fermi level is 4.557 states/eV per cell.

The structure belongs to space group Pm-3m (No. 221); the cell edges are 5.737, 5.737 and 5.737 Å and the angles 90.00°, 90.00° and 90.00°. Symmetry generates all atoms from Cs at (0.000, 0.000, 0.000), Ca at (0.500, 0.500, 0.500) and Be at (0.000, 0.500, 0.500).

***

B takes first place; second place is 426 meV/atom up.

***

--- A ---
CsCa3Be: relaxed, PBE-GGA.

The total magnetic moment is 0.000 μB/cell. As for the mass density: 2.1 g cm⁻³. The density of states at the Fermi level is 7.545 states/eV per cell.

The structure belongs to space group Pm-3m (No. 221); the cell edges are 5.955, 5.955 and 5.955 Å and the angles 90.00°, 90.00° and 90.00°. Symmetry generates all atoms from Cs at (0.000, 0.000, 0.000), Ca at (0.000, 0.500, 0.500) and Be at (0.500, 0.500, 0.500).

***

--- B ---
CsCa3Be: relaxed, PBE-GGA.

The total magnetic moment is 0.000 μB/cell. As for the mass density: 2.3 g cm⁻³. The density of states at the Fermi level is 6.447 states/eV per cell.

The structure belongs to space group Pm-3m (No. 221); the cell edges are 5.759, 5.759 and 5.759 Å and the angles 90.00°, 90.00° and 90.00°. Symmetry generates all atoms from Cs at (0.000, 0.000, 0.000), Ca at (0.000, 0.000, 0.500) and Be at (0.500, 0.500, 0.500).

***

A takes first place; second place is 1240 meV/atom up.

***

--- A ---
CaBe2Cu2: relaxed, PBE-GGA.

The total magnetic moment is 0.000 μB/cell. As for the mass density: 4.6 g cm⁻³. The density of states at the Fermi level is 4.235 states/eV per cell.

The structure belongs to space group P4/mbm (No. 127); the cell edges are 7.149, 7.149 and 2.632 Å and the angles 90.00°, 90.00° and 90.00°. Symmetry generates all atoms from Ca at (0.000, 0.000, 0.000), Be at (0.151, 0.349, 0.500) and Cu at (0.131, 0.631, 0.000).

***

--- B ---
CaBe2Cu2: relaxed, PBE-GGA.

The total magnetic moment is 0.000 μB/cell. As for the mass density: 4.1 g cm⁻³. The density of states at the Fermi level is 4.525 states/eV per cell.

The structure belongs to space group I4/mmm (No. 139); the cell edges are 4.039, 4.039 and 9.128 Å and the angles 90.00°, 90.00° and 90.00°. Symmetry generates all atoms from Ca at (0.000, 0.000, 0.000), Be at (0.000, 0.500, 0.250) and Cu at (0.000, 0.000, 0.362).

***

B takes first place; second place is 110 meV/atom up.

***

--- A ---
CaBeCu: relaxed, PBE-GGA.

The total magnetic moment is 0.002 μB/cell. As for the mass density: 2.6 g cm⁻³. The density of states at the Fermi level is 11.519 states/eV per cell.

The structure belongs to space group F-43m (No. 216); the cell edges are 6.566, 6.566 and 6.566 Å and the angles 90.00°, 90.00° and 90.00°. Symmetry generates all atoms from Ca at (0.000, 0.000, 0.000), Be at (0.250, 0.250, 0.250) and Cu at (0.250, 0.250, 0.750).

***

--- B ---
CaBeCu: relaxed, PBE-GGA.

The total magnetic moment is 0.000 μB/cell. As for the mass density: 3.3 g cm⁻³. The density of states at the Fermi level is 2.053 states/eV per cell.

The structure belongs to space group P-6m2 (No. 187); the cell edges are 3.9266, 3.9266 and 4.2604 Å and the angles 90.00°, 90.00° and 120.00°. Symmetry generates all atoms from Ca at (0.0000, 0.0000, 0.0000), Be at (0.3333, 0.6667, 0.5000) and Cu at (0.6667, 0.3333, 0.5000).

***

B takes first place; second place is 819 meV/atom up.